[1]
Here is a relaxed structure of CeRe3B3 from Alexandria. Energies are from PBE.

Unit cell a=8.2124 b=8.2124 c=3.0853 alpha=90.00 beta=90.00 gamma=120.00
Closest atoms and distances in Å follow each position.
Space group P6_3/m (No. 176)
Inequivalent atoms, fractional coordinates:
Ce  0.3333  0.6667  0.2500  9 B 2.64-2.67
Re  0.0727  0.3082  0.7500  3 B 2.26-2.30
B  0.0369  0.5687  0.7500  2 B 1.83

Results
Its density of states at the Fermi level is 0.55 states/eV/atom. The value obtained for the energy of formation is -0.184 eV/atom. Its total moment is 0.000 μB per atom. For the total energy, the calculation gives -129.2 eV per cell. The value obtained for the theoretical density is 13.47 g/cm3.

***

[2]
Here is a relaxed structure of LiZr2Au from Alexandria. Energies are from PBE.

Unit cell a=10.6844 b=3.2072 c=5.0407 alpha=90.00 beta=114.67 gamma=90.00
Closest atoms and distances in Å follow each position.
Space group Cm (No. 8)
Inequivalent atoms, fractional coordinates:
Li  0.0000  0.0000  0.0000  2 Au 2.64
Zr  0.0367  0.5000  0.5324  3 Au 2.98-3.26, 4 Li 3.01, 5 Zr 3.02-3.21
Zr  0.2749  0.5000  0.3567  4 Au 2.94-3.04, 5 Zr 3.02-3.21, 3 Li 3.13-3.17
Au  0.2865  0.0000  0.8796  2 Li 2.64, 2 Zr 2.94

Results
Its density of states at the Fermi level is 0.86 states/eV/atom. The value obtained for the energy of formation is -0.150 eV/atom. Its total moment is 0.000 μB per atom. For the total energy, the calculation gives -45.8 eV per cell. The value obtained for the theoretical density is 8.17 g/cm3.

***

[3]
Here is a relaxed structure of BeTcIr from Alexandria. Energies are from PBE.

Unit cell a=3.9692 b=9.2853 c=4.0036 alpha=90.00 beta=90.00 gamma=90.00
Closest atoms and distances in Å follow each position.
Space group Cmmm (No. 65)
Inequivalent atoms, fractional coordinates:
Be  0.0000  0.0000  0.0000  4 Ir 2.44, 4 Tc 2.49
Be  0.0000  0.5000  0.5000  4 Ir 2.45, 4 Tc 2.48
Tc  0.0000  0.1598  0.5000  4 Be 2.48-2.49, 2 Tc 2.60, 2 Ir 2.66
Ir  0.0000  0.3480  0.0000  4 Be 2.44-2.45, 2 Tc 2.66, 2 Ir 2.69

Results
Its density of states at the Fermi level is 0.72 states/eV/atom. The value obtained for the energy of formation is -0.332 eV/atom. Its total moment is 0.000 μB per atom. The energy above the most stable polymorph in this dataset is 35 meV/atom. For the total energy, the calculation gives -95.8 eV per cell. The value obtained for the theoretical density is 13.47 g/cm3.

***

[4]
Here is a relaxed structure of ScZnPb4 from Alexandria. Energies are from PBE.

Unit cell a=9.0014 b=9.0014 c=9.0014 alpha=90.00 beta=90.00 gamma=90.00
Closest atoms and distances in Å follow each position.
Space group F-43m (No. 216)
Inequivalent atoms, fractional coordinates:
Sc  0.0000  0.0000  0.0000  12 Pb 3.73, 4 Zn 3.90
Zn  0.2500  0.2500  0.7500  12 Pb 3.73, 4 Sc 3.90
Pb  0.1258  0.1258  0.3742  6 Pb 3.16-3.20

Results
Its density of states at the Fermi level is 0.82 states/eV/atom. The value obtained for the energy of formation is 0.284 eV/atom. Its total moment is 0.000 μB per atom. For the total energy, the calculation gives -82.9 eV per cell. The value obtained for the theoretical density is 8.55 g/cm3.

***

[5]
Here is a relaxed structure of NaSiAsS4 from Alexandria. Energies are from PBE.

Unit cell a=7.4878 b=10.9604 c=8.4086 alpha=90.00 beta=90.00 gamma=90.00
Closest atoms and distances in Å follow each position.
Space group Cmcm (No. 63)
Inequivalent atoms, fractional coordinates:
Na  0.0000  0.0000  0.0000  6 S 2.91-3.00
Si  0.0000  0.3713  0.2500  4 S 2.08-2.19
As  0.0000  0.3418  0.7500  2 S 2.30
S  0.0000  0.2630  0.0464  1 Si 2.08
S  0.2144  0.4925  0.7500  1 Si 2.19, 1 As 2.30

Results
The formation energy from raw total energies comes out at -549 meV/atom. Its total moment is 0.000 μB per atom. For the total energy, the calculation gives -127.0 eV per cell. The value obtained for the theoretical density is 2.45 g/cm3.

***

[6]
Here is a relaxed structure of Pa2Ni4As3Pt from Alexandria. Energies are from PBE.

Unit cell a=3.9618 b=3.9618 c=10.2691 alpha=90.00 beta=90.00 gamma=90.00
Closest atoms and distances in Å follow each position.
Space group P-4m2 (No. 115)
Inequivalent atoms, fractional coordinates:
Pa  0.0000  0.5000  0.2501  8 Ni 2.96-3.24, 6 As 3.08-3.24, 2 Pt 3.24
Ni  0.0000  0.0000  0.0000  4 As 2.36
Ni  0.0000  0.5000  0.6553  1 As 2.26
Ni  0.5000  0.5000  0.0000  4 As 2.36
As  0.0000  0.5000  0.8749  5 Ni 2.26-2.36
As  0.5000  0.5000  0.5000  4 Ni 2.54, 4 Pt 2.80
Pt  0.0000  0.0000  0.5000  4 Ni 2.54, 4 As 2.80

Results
Its density of states at the Fermi level is 0.69 states/eV/atom. The value obtained for the energy of formation is -0.666 eV/atom. Its total moment is 0.000 μB per atom. For the total energy, the calculation gives -68.8 eV per cell. The value obtained for the theoretical density is 11.50 g/cm3.

***

[7]
Here is a relaxed structure of Er6Ni2Ge from Alexandria. Energies are from PBE.

Unit cell a=9.1097 b=9.5031 c=9.8865 alpha=90.00 beta=90.00 gamma=90.00
Closest atoms and distances in Å follow each position.
Space group Immm (No. 71)
Inequivalent atoms, fractional coordinates:
Er  0.0000  0.1953  0.2353  1 Ni 2.72, 1 Ge 2.98
Er  0.1910  0.5000  0.1720  3 Ni 2.67-2.85
Er  0.2166  0.3206  0.5000  3 Ni 2.88-3.02, 1 Ge 3.09
Ni  0.0000  0.3433  0.0000  8 Er 2.72-3.02, 1 Ni 2.98
Ni  0.0000  0.5000  0.3774  1 Ni 2.42, 2 Er 2.67
Ge  0.0000  0.0000  0.0000  8 Er 2.98-3.09, 2 Ni 3.26
Ge  0.0000  0.0000  0.5000  8 Er 3.21-3.29

Results
Its density of states at the Fermi level is 0.90 states/eV/atom. The value obtained for the energy of formation is -0.423 eV/atom. Its total moment is 0.000 μB per atom. For the total energy, the calculation gives -189.5 eV per cell. The value obtained for the theoretical density is 9.26 g/cm3.

***

[8]
Here is a relaxed structure of IrPb2S from Alexandria. Energies are from PBE.

Unit cell a=6.3504 b=6.3504 c=12.3739 alpha=90.00 beta=90.00 gamma=90.00
Closest atoms and distances in Å follow each position.
Space group I-42d (No. 122)
Inequivalent atoms, fractional coordinates:
Ir  0.0000  0.0000  0.0000  4 Pb 2.64
Pb  0.2267  0.2500  0.1250  2 Ir 2.64, 2 S 2.82
S  0.0000  0.0000  0.5000  4 Pb 2.82

Results
Its density of states at the Fermi level is 0.69 states/eV/atom. The formation energy from raw total energies comes out at 315 meV/atom. Its total moment is 0.000 μB per atom. For the total energy, the calculation gives -76.6 eV per cell. The value obtained for the theoretical density is 8.50 g/cm3.